# PBE Mg2ZrSb, optimized geometry
# * symmetry: I-4m2, No. 119
data_Mg2ZrSb
_space_group_name_H-M_alt 'P 1'
_space_group_IT_number 1
_cell_length_a 5.630
_cell_length_b 5.630
_cell_length_c 5.630
_cell_angle_alpha 135.54
_cell_angle_beta 135.55
_cell_angle_gamma 64.68
loop_
_space_group_symop_operation_xyz
'x,y,z'
loop_
_atom_site_label
_atom_site_type_symbol
_atom_site_fract_x
_atom_site_fract_y
_atom_site_fract_z
Sb1 Sb 0.500 0.500 0.000
Mg1 Mg 0.000 0.000 0.000
Mg2 Mg 0.250 0.750 0.500
Zr1 Zr 0.750 0.250 0.500

# PBE MgZrSb2, optimized geometry
# * symmetry: P4/nmm, No. 129
data_MgZrSb2
_space_group_name_H-M_alt 'P 1'
_space_group_IT_number 1
_cell_length_a 5.755
_cell_length_b 5.755
_cell_length_c 6.009
_cell_angle_alpha 90.00
_cell_angle_beta 90.00
_cell_angle_gamma 90.00
loop_
_space_group_symop_operation_xyz
'x,y,z'
loop_
_atom_site_label
_atom_site_type_symbol
_atom_site_fract_x
_atom_site_fract_y
_atom_site_fract_z
Mg1 Mg 0.000 0.500 0.864
Mg2 Mg 0.500 0.000 0.136
Zr1 Zr 0.000 0.000 0.500
Zr2 Zr 0.500 0.500 0.500
Sb1 Sb 0.000 0.500 0.384
Sb2 Sb 0.500 0.000 0.616
Sb3 Sb 0.000 0.000 0.000
Sb4 Sb 0.500 0.500 0.000

no.,E_tot (eV per atom),formation energy without anion corrections (kcal/mol of atoms),D(E_F) (states/eV/atom)
1,-4.27,-7.00,0.4679
2,-5.00,-9.40,0.4349